Record 1
Density functional theory data (GGA-PBE) for a relaxed structure of TlZnCdAg.

Cell and atoms, written as CIF:
```
data_TlZnCdAg
_space_group_name_H-M_alt 'P 1 m 1'
_space_group_IT_number 6
_space_group_name_Hall 'P -2y'
_cell_length_a 3.376
_cell_length_b 4.814
_cell_length_c 5.539
_cell_angle_alpha 90.00
_cell_angle_beta 105.09
_cell_angle_gamma 90.00
loop_
_atom_site_label
_atom_site_type_symbol
_atom_site_fract_x
_atom_site_fract_y
_atom_site_fract_z
Tl1 Tl 0.000 0.000 0.000
Zn1 Zn 0.565 0.500 0.199
Cd1 Cd 0.282 0.500 0.652
Ag1 Ag 0.700 0.000 0.468
```

Results
N(E_F)   1.12 states/eV/cell
Formation energy from the elements   103 meV/atom
Calculated total energy   -7.00 eV/cell

=====

Record 2
Density functional theory data (GGA-PBE) for a relaxed structure of SrErPbAu.

Cell and atoms, written as CIF:
```
data_SrErPbAu
_space_group_name_H-M_alt 'F -4 3 m'
_space_group_IT_number 216
_space_group_name_Hall 'F -4 2 3'
_cell_length_a 7.660
_cell_length_b 7.660
_cell_length_c 7.660
_cell_angle_alpha 90.00
_cell_angle_beta 90.00
_cell_angle_gamma 90.00
loop_
_atom_site_label
_atom_site_type_symbol
_atom_site_fract_x
_atom_site_fract_y
_atom_site_fract_z
Sr1 Sr 0.000 0.000 0.000
Er1 Er 0.000 0.000 0.500
Pb1 Pb 0.250 0.250 0.250
Au1 Au 0.250 0.250 0.750
```

Results
N(E_F)   5.60 states/eV/cell
Formation energy from the elements   -582 meV/atom
Calculated total energy   -62.24 eV/cell

=====

Record 3
Density functional theory data (GGA-PBE) for a relaxed structure of Na4U3VN8.

Cell and atoms, written as CIF:
```
data_Na4U3VN8
_space_group_name_H-M_alt 'R -3 m'
_space_group_IT_number 166
_space_group_name_Hall '-R 3 2"'
_cell_length_a 6.7903
_cell_length_b 6.7903
_cell_length_c 16.9571
_cell_angle_alpha 90.00
_cell_angle_beta 90.00
_cell_angle_gamma 120.00
loop_
_atom_site_label
_atom_site_type_symbol
_atom_site_fract_x
_atom_site_fract_y
_atom_site_fract_z
Na1 Na 0.0000 0.0000 0.0000
Na2 Na 0.0000 0.5000 0.0000
U1 U 0.0000 0.5000 0.5000
V1 V 0.0000 0.0000 0.5000
N1 N 0.0000 0.0000 0.2297
N2 N 0.0065 0.5032 0.7725
```

Results
N(E_F)   13.30 states/eV/cell
Calculated total energy   -388.27 eV/cell
Raw formation energy   -910.0 meV/atom

=====

Record 4
Density functional theory data (GGA-PBE) for a relaxed structure of LiCd2In.

Cell and atoms, written as CIF:
```
data_LiCd2In
_space_group_name_H-M_alt 'C m m m'
_space_group_IT_number 65
_space_group_name_Hall '-C 2 2'
_cell_length_a 6.076
_cell_length_b 6.438
_cell_length_c 4.385
_cell_angle_alpha 90.00
_cell_angle_beta 90.00
_cell_angle_gamma 90.00
loop_
_atom_site_label
_atom_site_type_symbol
_atom_site_fract_x
_atom_site_fract_y
_atom_site_fract_z
Li1 Li 0.000 0.000 0.000
Cd1 Cd 0.250 0.250 0.500
In1 In 0.000 0.500 0.000
```

Results
N(E_F)   2.96 states/eV/cell
Formation energy from the elements   -146 meV/atom
Calculated total energy   -14.13 eV/cell

=====

Record 5
Density functional theory data (GGA-PBE) for a relaxed structure of NpMn2GaC.

Cell and atoms, written as CIF:
```
data_NpMn2GaC
_space_group_name_H-M_alt 'P 4 m m'
_space_group_IT_number 99
_space_group_name_Hall 'P 4 -2'
_cell_length_a 3.867
_cell_length_b 3.867
_cell_length_c 5.231
_cell_angle_alpha 90.00
_cell_angle_beta 90.00
_cell_angle_gamma 90.00
loop_
_atom_site_label
_atom_site_type_symbol
_atom_site_fract_x
_atom_site_fract_y
_atom_site_fract_z
Np1 Np 0.000 0.000 0.000
Mn1 Mn 0.000 0.500 0.507
Ga1 Ga 0.500 0.500 0.210
C1 C 0.000 0.000 0.545
```

Results
N(E_F)   13.08 states/eV/cell
Formation energy from the elements   213 meV/atom
Calculated total energy   -42.46 eV/cell

=====

Record 6
Density functional theory data (GGA-PBE) for a relaxed structure of MgSc2As.

Cell and atoms, written as CIF:
```
data_MgSc2As
_space_group_name_H-M_alt 'R -3 m'
_space_group_IT_number 166
_space_group_name_Hall '-R 3 2"'
_cell_length_a 3.6470
_cell_length_b 3.6470
_cell_length_c 28.2336
_cell_angle_alpha 90.00
_cell_angle_beta 90.00
_cell_angle_gamma 120.00
loop_
_atom_site_label
_atom_site_type_symbol
_atom_site_fract_x
_atom_site_fract_y
_atom_site_fract_z
Mg1 Mg 0.0000 0.0000 0.0000
Sc1 Sc 0.0000 0.0000 0.1110
As1 As 0.0000 0.0000 0.5000
```

Results
N(E_F)   14.89 states/eV/cell
Formation energy from the elements   -294 meV/atom
Calculated total energy   -60.25 eV/cell

=====

- Which of these has the highest N(E_F)?
  MgSc2As

=====

Repeat the fifth record exactly.
Density functional theory data (GGA-PBE) for a relaxed structure of NpMn2GaC.

Cell and atoms, written as CIF:
```
data_NpMn2GaC
_space_group_name_H-M_alt 'P 4 m m'
_space_group_IT_number 99
_space_group_name_Hall 'P 4 -2'
_cell_length_a 3.867
_cell_length_b 3.867
_cell_length_c 5.231
_cell_angle_alpha 90.00
_cell_angle_beta 90.00
_cell_angle_gamma 90.00
loop_
_atom_site_label
_atom_site_type_symbol
_atom_site_fract_x
_atom_site_fract_y
_atom_site_fract_z
Np1 Np 0.000 0.000 0.000
Mn1 Mn 0.000 0.500 0.507
Ga1 Ga 0.500 0.500 0.210
C1 C 0.000 0.000 0.545
```

Results
N(E_F)   13.08 states/eV/cell
Formation energy from the elements   213 meV/atom
Calculated total energy   -42.46 eV/cell